## MoPPbCl2 (GGA-PBE)

Data for MoPPbCl2 after structural relaxation.

Output
The uncorrected formation energy comes out at 29 meV/atom. For the total DFT energy (no corrections), the calculation gives -23.50 eV/cell. The energy relative to the lowest polymorph listed for this composition comes out at 0 meV/atom. As for the volume: 134.5 Å³/cell.

Cell: 5.2321 5.2321 4.9149 Å, 90.00 90.00 90.00°
Last column: nearest neighbours and their distance in Å.
Element x y z (fractional)
P (0.0000, 0.0000, 0.5000)  2 Mo 2.46
Pb (0.5000, 0.5000, 0.5000)  8 Cl 3.59, 4 P 3.70
Mo (0.0000, 0.0000, 0.0000)  2 P 2.46, 4 Cl 2.62
Cl (0.0000, 0.5000, 0.0000)  2 Mo 2.62
Cl (0.5000, 0.0000, 0.0000)  2 Mo 2.62